This record from Alexandria describes a relaxed Zn2SbPRh crystal. The functional is GGA-PBE.

abc: 4.377 5.462 4.377
angles: 90.00 90.00 90.00
Sites, in units of the cell vectors:
P  0.000  0.000  0.000
Zn  0.000  0.000  0.500
Zn  0.500  0.000  0.000
Sb  0.000  0.500  0.000
Rh  0.500  0.500  0.500

SG: P4/mmm
Formation energy (no corrections): 611 meV/atom

This record from Alexandria describes a relaxed ScPRh2 crystal. The functional is GGA-PBE.

abc: 5.203 6.918 13.448
angles: 90.00 90.00 90.00
Sites, in units of the cell vectors:
Rh  0.498  0.550  0.286
Rh  0.998  0.050  0.214
Sc  0.481  0.250  0.131
P  0.475  0.750  0.433
Rh  0.752  0.550  0.037
P  0.774  0.750  0.183
Rh  0.748  0.950  0.537
Rh  0.752  0.950  0.037
Sc  0.282  0.750  0.115
Rh  0.498  0.950  0.286
Sc  0.782  0.250  0.385
Sc  0.019  0.250  0.631
Sc  0.218  0.750  0.615
Rh  0.002  0.550  0.786
Sc  0.981  0.750  0.369
P  0.525  0.250  0.567
Rh  0.002  0.950  0.786
P  0.975  0.250  0.067
Rh  0.248  0.050  0.963
Rh  0.998  0.450  0.214
P  0.025  0.750  0.933
Rh  0.502  0.450  0.714
Rh  0.248  0.450  0.963
Rh  0.502  0.050  0.714
Sc  0.519  0.750  0.869
P  0.274  0.250  0.317
P  0.726  0.750  0.683
Rh  0.252  0.450  0.463
P  0.226  0.250  0.817
Rh  0.748  0.550  0.537
Sc  0.718  0.250  0.885
Rh  0.252  0.050  0.463

ΔH_f (0 K): -1033 meV per atom
SG: Pnma

This record from Alexandria describes a relaxed Sc2P7Rh12 crystal. The functional is GGA-PBE.

abc: 3.799 9.573 9.573
angles: 120.00 90.00 90.00
Sites, in units of the cell vectors:
Rh  0.751  0.546  0.618
Rh  0.249  0.454  0.382
P  0.500  0.000  0.000
P  0.754  0.592  0.879
Rh  0.251  0.737  0.849
Rh  0.251  0.151  0.888
P  0.246  0.879  0.286
P  0.754  0.286  0.408
Rh  0.249  0.927  0.546
P  0.246  0.408  0.121
Rh  0.751  0.382  0.927
Rh  0.749  0.888  0.737
Rh  0.249  0.618  0.073
P  0.246  0.714  0.592
Rh  0.749  0.263  0.151
Rh  0.749  0.849  0.112
Sc  0.751  0.667  0.333
P  0.754  0.121  0.714
Sc  0.249  0.333  0.667
Rh  0.251  0.112  0.263
Rh  0.751  0.073  0.454

ΔH_f (0 K): -886 meV per atom
SG: P-3

This record from Alexandria describes a relaxed ScPRh2 crystal. The functional is GGA-PBE.

abc: 4.423 4.423 4.423
angles: 60.00 60.00 60.00
Sites, in units of the cell vectors:
Rh  0.000  0.000  0.000
Rh  0.750  0.750  0.750
P  0.500  0.500  0.500
Sc  0.250  0.250  0.250

ΔH_f (0 K): -413 meV per atom
SG: F-43m

This record from Alexandria describes a relaxed Sc3P2Rh5 crystal. The functional is GGA-PBE.

abc: 9.386 9.386 3.551
angles: 90.00 90.00 90.00
Sites, in units of the cell vectors:
Rh  0.070  0.785  0.500
P  0.872  0.372  0.000
Sc  0.829  0.671  0.000
Sc  0.671  0.171  0.000
Sc  0.000  0.000  0.000
Rh  0.785  0.930  0.500
Rh  0.430  0.285  0.500
Rh  0.570  0.715  0.500
P  0.128  0.628  0.000
Rh  0.715  0.430  0.500
Rh  0.285  0.570  0.500
Sc  0.329  0.829  0.000
Sc  0.171  0.329  0.000
Rh  0.500  0.000  0.500
Rh  0.000  0.500  0.500
Sc  0.500  0.500  0.000
Rh  0.215  0.070  0.500
P  0.628  0.872  0.000
P  0.372  0.128  0.000
Rh  0.930  0.215  0.500

ΔH_f (0 K): -983 meV per atom
SG: P4/mbm

This record from Alexandria describes a relaxed ScPRh2 crystal. The functional is GGA-PBE.

abc: 4.761 4.761 3.968
angles: 90.00 90.00 134.91
Sites, in units of the cell vectors:
Rh  0.188  0.812  0.000
P  0.316  0.684  0.500
Sc  0.907  0.093  0.000
Rh  0.582  0.418  0.500

ΔH_f (0 K): -771 meV per atom
SG: Amm2

This record from Alexandria describes a relaxed ScPRh2 crystal. The functional is GGA-PBE.

abc: 7.009 7.009 5.664
angles: 51.78 51.78 90.00
Sites, in units of the cell vectors:
Rh  0.875  0.795  0.750
Sc  0.750  0.250  0.500
P  0.500  0.500  0.000
Rh  0.375  0.455  0.750
Sc  0.000  0.000  0.000
Rh  0.545  0.125  0.250
Rh  0.205  0.625  0.250
P  0.250  0.750  0.500

ΔH_f (0 K): -654 meV per atom
SG: I-42d

This record from Alexandria describes a relaxed Sc2PRh4 crystal. The functional is GGA-PBE.

abc: 4.348 4.348 7.323
angles: 72.73 72.73 90.00
Sites, in units of the cell vectors:
Rh  0.000  0.500  0.000
Sc  0.646  0.646  0.709
Rh  0.500  0.000  0.000
Rh  0.831  0.831  0.338
Sc  0.354  0.354  0.291
Rh  0.169  0.169  0.662
P  0.000  0.000  0.000

ΔH_f (0 K): -425 meV per atom
SG: I4/mmm

Summary of total moment in μB/f.u.
0.0; 0.0; 0.0; 0.0; 0.0; 0.0; 0.0; 0.0
(order as listed above)
Summary of D(E_F) in states/eV per atom
0.76; 0.53; 0.64; 1.73; 0.59; 0.60; 0.96; 0.73
(order as listed above)